(1)
The following is a DFT calculation (GGA-PBE) of Ta2CuNi after structural relaxation.

Energy above the lowest structure with this stoichiometry   0.00 eV/f.u.
E_tot   -8.465 eV/atom
Calculated formation energy   -0.3 eV per formula unit

abc: 3.180 3.180 5.907
angles: 90.00 90.00 90.00
Sites, in units of the cell vectors:
Ta  0.000  0.000  0.000
Ta  0.500  0.500  0.310
Cu  0.000  0.000  0.553
Ni  0.500  0.500  0.771

(2)
The following is a DFT calculation (GGA-PBE) of Ce3ErBi4 after structural relaxation.

Energy above the lowest structure with this stoichiometry   0.00 eV/f.u.
E_tot   -5.526 eV/atom
Calculated formation energy   -6.3 eV per formula unit

abc: 7.898 7.898 4.572
angles: 90.00 90.00 109.54
Sites, in units of the cell vectors:
Ce  0.000  0.000  0.000
Ce  0.000  0.500  0.500
Ce  0.500  0.000  0.500
Er  0.500  0.500  0.000
Bi  0.253  0.747  0.000
Bi  0.256  0.256  0.500
Bi  0.744  0.744  0.500
Bi  0.747  0.253  0.000

(3)
The following is a DFT calculation (GGA-PBE) of Sr3Zn4Rh2 after structural relaxation.

E_tot   -3.083 eV/atom
Calculated formation energy   -2.9 eV per formula unit

abc: 6.219 6.219 8.892
angles: 103.07 103.07 40.81
Sites, in units of the cell vectors:
Sr  0.000  0.000  0.000
Sr  0.324  0.324  0.348
Sr  0.676  0.676  0.652
Zn  0.048  0.048  0.377
Zn  0.282  0.282  0.934
Zn  0.718  0.718  0.066
Zn  0.952  0.952  0.623
Rh  0.394  0.394  0.729
Rh  0.606  0.606  0.271

(4)
The following is a DFT calculation (GGA-PBE) of CaCrMo2 after structural relaxation.

Energy above the lowest structure with this stoichiometry   0.55 eV/f.u.
E_tot   -7.620 eV/atom
Calculated formation energy   2.8 eV per formula unit

abc: 9.112 9.112 9.112
angles: 19.18 19.18 19.18
Sites, in units of the cell vectors:
Ca  0.000  0.000  0.000
Cr  0.500  0.500  0.500
Mo  0.233  0.233  0.233
Mo  0.767  0.767  0.767

(5)
The following is a DFT calculation (GGA-PBE) of LiLaSb2Te after structural relaxation.

Energy above the lowest structure with this stoichiometry   2.50 eV/f.u.
E_tot   -3.582 eV/atom
Uncorrected formation energy   0.063 eV per atom

abc: 6.093 6.093 6.155
angles: 90.00 90.00 90.00
Sites, in units of the cell vectors:
Li  0.000  0.000  0.000
La  0.500  0.500  0.500
Sb  0.000  0.500  0.500
Sb  0.500  0.000  0.500
Te  0.500  0.500  0.000

(6)
The following is a DFT calculation (GGA-PBE) of Li4MgCd after structural relaxation.

Energy above the lowest structure with this stoichiometry   0.00 eV/f.u.
E_tot   -1.826 eV/atom
Calculated formation energy   -0.8 eV per formula unit

abc: 4.711 4.711 5.879
angles: 90.01 90.01 60.02
Sites, in units of the cell vectors:
Li  0.166  0.167  0.236
Li  0.167  0.167  0.766
Li  0.833  0.833  0.234
Li  0.833  0.834  0.764
Mg  0.501  0.499  0.500
Cd  0.500  0.500  0.000

(7)
The following is a DFT calculation (GGA-PBE) of Sc3TlSe after structural relaxation.

Energy above the lowest structure with this stoichiometry   0.30 eV/f.u.
E_tot   -5.641 eV/atom
Uncorrected formation energy   -0.672 eV per atom

abc: 8.249 8.249 3.709
angles: 90.00 90.00 107.86
Sites, in units of the cell vectors:
Sc  0.186  0.814  0.000
Sc  0.191  0.428  0.500
Sc  0.428  0.191  0.500
Sc  0.572  0.809  0.500
Sc  0.809  0.572  0.500
Sc  0.814  0.186  0.000
Tl  0.000  0.000  0.500
Tl  0.500  0.500  0.000
Se  0.000  0.500  0.000
Se  0.500  0.000  0.000

(8)
The following is a DFT calculation (GGA-PBE) of CdPt3F after structural relaxation.

Energy above the lowest structure with this stoichiometry   4.53 eV/f.u.
E_tot   -2.744 eV/atom
Uncorrected formation energy   1.438 eV per atom

abc: 5.031 5.031 5.031
angles: 90.00 90.00 90.00
Sites, in units of the cell vectors:
Cd  0.000  0.000  0.000
Pt  0.000  0.000  0.500
Pt  0.000  0.500  0.000
Pt  0.500  0.000  0.000
F  0.500  0.500  0.500

(9)
The following is a DFT calculation (GGA-PBE) of Ac2SiI after structural relaxation.

Energy above the lowest structure with this stoichiometry   0.09 eV/f.u.
E_tot   -4.703 eV/atom
Uncorrected formation energy   -0.906 eV per atom

abc: 8.807 8.807 8.807
angles: 29.86 29.86 29.86
Sites, in units of the cell vectors:
Ac  0.000  0.000  0.000
Ac  0.202  0.202  0.202
Si  0.602  0.602  0.602
I  0.433  0.433  0.433

(10)
The following is a DFT calculation (GGA-PBE) of Co2ReHg after structural relaxation.

E_tot   -6.347 eV/atom
Calculated formation energy   1.6 eV per formula unit

abc: 8.817 8.817 8.817
angles: 18.16 18.16 18.16
Sites, in units of the cell vectors:
Co  0.243  0.243  0.243
Co  0.757  0.757  0.757
Re  0.500  0.500  0.500
Hg  0.000  0.000  0.000

(11)
The following is a DFT calculation (GGA-PBE) of Li3B8C8 after structural relaxation.

Energy above the lowest structure with this stoichiometry   1.57 eV/f.u.
E_tot   -6.908 eV/atom
Calculated formation energy   1.7 eV per formula unit

abc: 7.352 2.740 8.977
angles: 90.00 90.60 90.00
Sites, in units of the cell vectors:
Li  0.000  0.000  0.000
Li  0.500  0.500  0.247
Li  0.500  0.500  0.753
B  0.217  0.000  0.685
B  0.227  0.000  0.187
B  0.273  0.500  0.436
B  0.274  0.500  0.936
B  0.726  0.500  0.064
B  0.727  0.500  0.564
B  0.773  0.000  0.813
B  0.783  0.000  0.315
C  0.219  0.500  0.607
C  0.225  0.500  0.107
C  0.275  0.000  0.855
C  0.277  0.000  0.359
C  0.723  0.000  0.641
C  0.725  0.000  0.145
C  0.775  0.500  0.893
C  0.781  0.500  0.393

(12)
The following is a DFT calculation (GGA-PBE) of HoSc3Sb2 after structural relaxation.

E_tot   -5.964 eV/atom
Uncorrected formation energy   -0.661 eV per atom

abc: 8.927 8.927 8.880
angles: 112.30 112.30 27.51
Sites, in units of the cell vectors:
Ho  0.111  0.111  0.122
Ho  0.889  0.889  0.878
Sc  0.064  0.064  0.678
Sc  0.309  0.309  0.104
Sc  0.355  0.355  0.513
Sc  0.645  0.645  0.487
Sc  0.691  0.691  0.896
Sc  0.936  0.936  0.322
Sb  0.247  0.247  0.719
Sb  0.490  0.490  0.170
Sb  0.510  0.510  0.830
Sb  0.753  0.753  0.281

(13)
The following is a DFT calculation (GGA-PBE) of KIn2Ru after structural relaxation.

Energy above the lowest structure with this stoichiometry   1.54 eV/f.u.
E_tot   -3.474 eV/atom
Calculated formation energy   2.0 eV per formula unit

abc: 5.020 5.020 5.020
angles: 60.00 60.00 60.00
Sites, in units of the cell vectors:
K  0.000  0.000  0.000
In  0.250  0.250  0.250
In  0.750  0.750  0.750
Ru  0.500  0.500  0.500

Record-wise spin magnetization values, in μB per atom: 0.00; 0.33; 0.00; 0.00; 0.00; 0.00; 0.00; 0.20; 0.00; 0.51; 0.00; 0.07; 0.00